[1]
Material: UTiMoO6
Method: DFT, GGA+U
State: optimized geometry

Unit cell a=5.4118 b=5.4118 c=8.9860 alpha=90.00 beta=90.00 gamma=120.00
With the nearest neighbours (Å) after each atom.
Element x y z (fractional)
U 0.3333 0.6667 0.2500  6 O 2.15
U 0.6667 0.3333 0.7500  6 O 2.15
Ti 0.3333 0.6667 0.7500  6 O 1.99
Ti 0.6667 0.3333 0.2500  6 O 1.99
Mo 0.0000 0.0000 0.0000  6 O 2.20
Mo 0.0000 0.0000 0.5000  6 O 2.20
O 0.0228 0.3540 0.6319  1 Ti 1.99, 1 U 2.15, 1 Mo 2.20
O 0.0228 0.6688 0.8681  1 Ti 1.99, 1 U 2.15, 1 Mo 2.20
O 0.3312 0.3540 0.8681  1 Ti 1.99, 1 U 2.15, 1 Mo 2.20
O 0.3312 0.9772 0.6319  1 Ti 1.99, 1 U 2.15, 1 Mo 2.20
O 0.3540 0.0228 0.1319  1 Ti 1.99, 1 U 2.15, 1 Mo 2.20
O 0.3540 0.3312 0.3681  1 Ti 1.99, 1 U 2.15, 1 Mo 2.20
O 0.6460 0.6688 0.6319  1 Ti 1.99, 1 U 2.15, 1 Mo 2.20
O 0.6460 0.9772 0.8681  1 Ti 1.99, 1 U 2.15, 1 Mo 2.20
O 0.6688 0.0228 0.3681  1 Ti 1.99, 1 U 2.15, 1 Mo 2.20
O 0.6688 0.6460 0.1319  1 Ti 1.99, 1 U 2.15, 1 Mo 2.20
O 0.9772 0.3312 0.1319  1 Ti 1.99, 1 U 2.15, 1 Mo 2.20
O 0.9772 0.6460 0.3681  1 Ti 1.99, 1 U 2.15, 1 Mo 2.20

The volume is 12.66 Å³ per atom. As for the density of states at the Fermi level: 4.89 states/eV per cell. Its total energy is -159.85 eV per cell. The calculation puts the calculated density at 6.96 Mg/m³.

[2]
Material: TiVMoO6
Method: DFT, GGA+U
State: optimized geometry

Unit cell a=4.6509 b=4.6509 c=9.2775 alpha=90.00 beta=90.00 gamma=90.00
With the nearest neighbours (Å) after each atom.
Element x y z (fractional)
Ti 0.0000 0.0000 0.0000  6 O 1.93-2.07
Ti 0.5000 0.5000 0.5000  6 O 1.93-2.07
V 0.0000 0.0000 0.3377  6 O 2.01-2.05
V 0.5000 0.5000 0.8377  6 O 2.01-2.05
Mo 0.0000 0.0000 0.6705  6 O 1.95-2.06
Mo 0.5000 0.5000 0.1705  6 O 1.95-2.06
O 0.1946 0.1946 0.8440  1 Ti 1.93, 1 V 2.01, 1 Mo 2.06
O 0.2006 0.2006 0.5073  1 Ti 1.97, 1 Mo 2.01, 1 V 2.05
O 0.2036 0.2036 0.1696  1 Mo 1.95, 1 V 2.05, 1 Ti 2.07
O 0.2964 0.7036 0.6696  1 Mo 1.95, 1 V 2.05, 1 Ti 2.07
O 0.2994 0.7006 0.0073  1 Ti 1.97, 1 Mo 2.01, 1 V 2.05
O 0.3054 0.6946 0.3440  1 Ti 1.93, 1 V 2.01, 1 Mo 2.06
O 0.6946 0.3054 0.3440  1 Ti 1.93, 1 V 2.01, 1 Mo 2.06
O 0.7006 0.2994 0.0073  1 Ti 1.97, 1 Mo 2.01, 1 V 2.05
O 0.7036 0.2964 0.6696  1 Mo 1.95, 1 V 2.05, 1 Ti 2.07
O 0.7964 0.7964 0.1696  1 Mo 1.95, 1 V 2.05, 1 Ti 2.07
O 0.7994 0.7994 0.5073  1 Ti 1.97, 1 Mo 2.01, 1 V 2.05
O 0.8054 0.8054 0.8440  1 Ti 1.93, 1 V 2.01, 1 Mo 2.06

The volume is 11.15 Å³ per atom. Its total energy is -144.47 eV per cell. The calculation puts the calculated density at 4.81 Mg/m³.

[3]
Material: TiV2MoO6
Method: DFT, GGA+U
State: optimized geometry

Unit cell a=5.6333 b=5.6333 c=5.6333 alpha=55.14 beta=55.14 gamma=55.14
With the nearest neighbours (Å) after each atom.
Element x y z (fractional)
Ti 0.0000 0.0000 0.0000  6 O 1.94-2.10
V 0.1982 0.1982 0.1982  6 O 2.06
V 0.6990 0.6990 0.6990  6 O 2.11-2.19
Mo 0.5066 0.5066 0.5066  6 O 2.11-2.20
O 0.1046 0.8066 0.3909  2 V 2.06-2.11, 1 Ti 2.10, 1 Mo 2.11
O 0.2696 0.6129 0.9270  1 Ti 1.94, 1 V 2.06
O 0.3909 0.1046 0.8066  2 V 2.06-2.11, 1 Ti 2.10, 1 Mo 2.11
O 0.6129 0.9270 0.2696  1 Ti 1.94, 1 V 2.06
O 0.8066 0.3909 0.1046  2 V 2.06-2.11, 1 Ti 2.10, 1 Mo 2.11
O 0.9270 0.2696 0.6129  1 Ti 1.94, 1 V 2.06

The volume is 11.21 Å³ per atom. Its total energy is -80.78 eV per cell. The calculation puts the calculated density at 5.06 Mg/m³.